Below is a relaxed structure of SrUP2Se8, with properties calculated at the PBE-GGA level.

Cell and atoms, written as CIF:
```
data_SrUP2Se8
_chemical_formula_sum 'Sr1 U1 P2 Se8'
_symmetry_space_group_name_H-M 'P -3'
_symmetry_Int_Tables_number 147
_cell_length_a 6.3874
_cell_length_b 6.3874
_cell_length_c 9.4524
_cell_angle_alpha 90.00
_cell_angle_beta 90.00
_cell_angle_gamma 120.00
loop_
_symmetry_equiv_pos_as_xyz
'x,y,z'
'-x,-y,-z'
'-y,x-y,z'
'y,-x+y,-z'
'-x+y,-x,z'
'x-y,x,-z'
loop_
_atom_site_label
_atom_site_type_symbol
_atom_site_fract_x
_atom_site_fract_y
_atom_site_fract_z
Sr1 Sr 0.0000 0.0000 0.0000
U1 U 0.0000 0.0000 0.5000
P1 P 0.3333 0.6667 0.7600
Se1 Se 0.0151 0.6652 0.3103
Se2 Se 0.3333 0.6667 0.9892
```

Computed properties:
* raw formation energy: -553 meV per atom
* E: -4.86 eV per atom

---

Below is a relaxed structure of BiPtRh3, with properties calculated at the PBE-GGA level.

Cell and atoms, written as CIF:
```
data_BiPtRh3
_chemical_formula_sum 'Bi1 Pt1 Rh3'
_symmetry_space_group_name_H-M 'P m -3 m'
_symmetry_Int_Tables_number 221
_symmetry_space_group_name_Hall '-P 4 2 3'
_cell_length_a 4.818
_cell_length_b 4.818
_cell_length_c 4.818
_cell_angle_alpha 90.00
_cell_angle_beta 90.00
_cell_angle_gamma 90.00
loop_
_atom_site_label
_atom_site_type_symbol
_atom_site_fract_x
_atom_site_fract_y
_atom_site_fract_z
Bi1 Bi 0.000 0.000 0.000
Pt1 Pt 0.500 0.500 0.500
Rh1 Rh 0.000 0.500 0.500
```

Computed properties:
* polymorph energy (0 for the lowest one): 0.00 eV/f.u.
* E: -5.31 eV per atom
* energy of formation from the pure elements: 5.446 eV per formula unit

---

Below is a relaxed structure of EuCuSn2, with properties calculated at the PBE-GGA level.

Cell and atoms, written as CIF:
```
data_EuCuSn2
_chemical_formula_sum 'Eu1 Cu1 Sn2'
_symmetry_space_group_name_H-M 'P 4/m m m'
_symmetry_Int_Tables_number 123
_symmetry_space_group_name_Hall '-P 4 2'
_cell_length_a 4.571
_cell_length_b 4.571
_cell_length_c 4.538
_cell_angle_alpha 90.00
_cell_angle_beta 90.00
_cell_angle_gamma 90.00
loop_
_atom_site_label
_atom_site_type_symbol
_atom_site_fract_x
_atom_site_fract_y
_atom_site_fract_z
Eu1 Eu 0.000 0.000 0.000
Cu1 Cu 0.500 0.500 0.000
Sn1 Sn 0.000 0.500 0.500
```

Computed properties:
* E: -5.86 eV per atom
* energy of formation from the pure elements: -1.055 eV per formula unit